Entry from Alexandria via LeMat-Bulk: a relaxed structure of BaP2PbO7 (PBE-GGA).

Computed properties:
Crystal system   orthorhombic
Spin magnetization   0.00 μB per formula unit
ΔE_f (raw)   -2383 meV/atom
Total energy   -77.4 eV/f.u.

Cell: 9.231 5.698 13.635 Å, 90.00 90.00 90.00°
Fractional coordinates of all 44 atoms:
Ba  0.162  0.250  0.238
Ba  0.338  0.750  0.738
Ba  0.662  0.250  0.262
Ba  0.838  0.750  0.762
P  0.040  0.250  0.680
P  0.221  0.750  0.033
P  0.279  0.250  0.533
P  0.460  0.750  0.180
P  0.540  0.250  0.820
P  0.721  0.750  0.467
P  0.779  0.250  0.967
P  0.960  0.750  0.320
Pb  0.136  0.250  0.913
Pb  0.364  0.750  0.413
Pb  0.636  0.250  0.587
Pb  0.864  0.750  0.087
O  0.090  0.028  0.735
O  0.090  0.472  0.735
O  0.112  0.250  0.571
O  0.123  0.750  0.337
O  0.146  0.526  0.072
O  0.146  0.974  0.072
O  0.229  0.750  0.921
O  0.271  0.250  0.421
O  0.354  0.026  0.572
O  0.354  0.474  0.572
O  0.377  0.250  0.837
O  0.388  0.750  0.071
O  0.410  0.528  0.235
O  0.410  0.972  0.235
O  0.590  0.028  0.765
O  0.590  0.472  0.765
O  0.612  0.250  0.929
O  0.623  0.750  0.163
O  0.646  0.526  0.428
O  0.646  0.974  0.428
O  0.729  0.750  0.579
O  0.771  0.250  0.079
O  0.854  0.026  0.928
O  0.854  0.474  0.928
O  0.877  0.250  0.663
O  0.888  0.750  0.429
O  0.910  0.528  0.265
O  0.910  0.972  0.265

---

Entry from Alexandria via LeMat-Bulk: a relaxed structure of Ac3Zn2Ni4 (PBE-GGA).

Computed properties:
Crystal system   monoclinic
Spin magnetization   0.00 μB per formula unit
Total energy   -40.7 eV/f.u.

Cell: 5.677 5.677 8.674 Å, 98.83 98.83 44.15°
Fractional coordinates of all 9 atoms:
Ac  0.000  0.000  0.000
Ac  0.377  0.377  0.622
Ac  0.623  0.623  0.378
Zn  0.319  0.319  0.211
Zn  0.681  0.681  0.789
Ni  0.089  0.089  0.642
Ni  0.261  0.261  0.917
Ni  0.739  0.739  0.083
Ni  0.911  0.911  0.358